# SrZn2Rh

SrZn2Rh after structural relaxation (PBE, Alexandria via LeMat-Bulk).

a = 4.0089 Å, b = 4.3610 Å, c = 4.5890 Å
α = 90.00°, β = 90.00°, γ = 90.00°
Sites, in units of the cell vectors:
Rh1 0.5000 0.0000 0.5000
Sr1 0.0000 0.5000 0.5000
Zn1 0.0000 0.0000 0.0000
Zn2 0.5000 0.5000 0.0000

Output
ρ = 6.65 g/cm3
VASP energy = -11.4 eV/cell
space-group type = No. 47
formation energy from the elements = 44 meV per atom



# SrZnRh2

SrZnRh2 after structural relaxation (PBE, Alexandria via LeMat-Bulk).

a = 4.4834 Å, b = 3.0852 Å, c = 5.7290 Å
α = 75.10°, β = 90.00°, γ = 90.00°
Sites, in units of the cell vectors:
Rh1 0.0000 0.8142 0.0204
Rh2 0.5000 0.2360 0.1632
Sr1 0.0000 0.5412 0.5188
Zn1 0.5000 0.9086 0.7976

Output
ρ = 7.78 g/cm3
VASP energy = -17.7 eV/cell
space-group type = No. 6
formation energy from the elements = -1 meV per atom



# SrZn2Rh2

SrZn2Rh2 after structural relaxation (PBE, Alexandria via LeMat-Bulk).

a = 7.5874 Å, b = 7.5874 Å, c = 3.0146 Å
α = 90.00°, β = 90.00°, γ = 90.00°
Sites, in units of the cell vectors:
Sr1 0.0000 0.0000 0.0000
Sr2 0.5000 0.5000 0.0000
Zn1 0.3746 0.8746 0.0000
Zn2 0.8746 0.6254 0.0000
Zn3 0.6254 0.1254 0.0000
Zn4 0.1254 0.3746 0.0000
Rh1 0.1648 0.6648 0.5000
Rh2 0.6648 0.8352 0.5000
Rh3 0.8352 0.3352 0.5000
Rh4 0.3352 0.1648 0.5000

Output
ρ = 8.12 g/cm3
offset from the most stable computed form = 0.338 eV/f.u.
VASP energy = -40.6 eV/cell
space-group type = No. 127
formation energy from the elements = -274 meV per atom